A relaxed structure of AgTeSe2N, computed with PBE-GGA.

Space-group type = P4/mmm, No. 123
Energy above the most stable polymorph in this dataset = 0.55 eV/f.u.
Crystal system = tetragonal

The structure in POSCAR format:
```
AgTeSe2N
1.0
-1.3805 5.0662 -0.2171
-3.5091 -1.0271 -1.6527
-2.1423 -0.3787 4.7840
Te Se Ag N
1 2 1 1
Cartesian
-3.5160 1.8302 1.4571
-1.0711 -0.1894 2.3920
-0.6903 2.5331 -0.1086
0.0000 0.0000 0.0000
-1.7546 -0.5135 -0.8264
```

=====

A relaxed structure of AgTe2SeN, computed with PBE-GGA.

Space-group type = P4/mmm, No. 123
Energy above the most stable polymorph in this dataset = 0.00 eV/f.u.
Crystal system = tetragonal

The structure in POSCAR format:
```
AgTe2SeN
1.0
5.7767 0.0000 0.0000
0.0000 5.7767 0.0000
0.0000 0.0000 3.6407
Te Se Ag N
2 1 1 1
Cartesian
0.0000 2.8884 0.0000
2.8884 0.0000 0.0000
0.0000 0.0000 0.0000
2.8884 2.8884 1.8203
0.0000 0.0000 1.8203
```

=====

A relaxed structure of AgTe2SeN, computed with PBE-GGA.

Space-group type = P4/mmm, No. 123
Energy above the most stable polymorph in this dataset = 1.11 eV/f.u.
Crystal system = tetragonal

The structure in POSCAR format:
```
AgTe2SeN
1.0
-3.9484 -1.0619 3.8012
-2.0463 -4.0468 -3.2561
2.3795 -2.6061 1.7436
Te Se Ag N
2 1 1 1
Cartesian
-1.0231 -2.0234 -1.6280
-1.9742 -0.5310 1.9006
-1.8076 -3.8574 1.1443
0.0000 0.0000 0.0000
1.1897 -1.3030 0.8718
```

=====

A relaxed structure of AgTeSe2N, computed with PBE-GGA.

Space-group type = P4/mmm, No. 123
Energy above the most stable polymorph in this dataset = 0.00 eV/f.u.
Crystal system = tetragonal

The structure in POSCAR format:
```
AgTeSe2N
1.0
5.4538 0.0000 0.0000
0.0000 5.4538 0.0000
0.0000 0.0000 3.9221
Te Se Ag N
1 2 1 1
Cartesian
0.0000 0.0000 0.0000
0.0000 2.7269 0.0000
2.7269 0.0000 0.0000
2.7269 2.7269 1.9610
0.0000 0.0000 1.9610
```

=====

A relaxed structure of Th2AgSe2N2, computed with PBE-GGA.

Space-group type = P-3m1, No. 164
Crystal system = trigonal

The structure in POSCAR format:
```
Th2AgSe2N2
1.0
-3.9967 0.4661 -0.5559
1.6531 -3.7073 -0.1530
-1.7760 -1.2748 11.6997
Th Ag Se N
2 1 2 2
Cartesian
-2.7790 -1.4027 3.9629
-1.3406 -3.1132 7.0279
0.0000 0.0000 0.0000
-1.4087 -1.0111 9.2802
-0.3673 -0.2636 2.4196
-3.1346 -1.6580 6.3057
-0.9849 -2.8579 4.6851
```

=====

A relaxed structure of TiAgSe2N, computed with PBE-GGA.

Space-group type = P4/mmm, No. 123
Energy above the most stable polymorph in this dataset = 0.00 eV/f.u.
Crystal system = tetragonal

The structure in POSCAR format:
```
TiAgSe2N
1.0
5.1375 0.0000 0.0000
0.0000 5.1375 0.0000
0.0000 0.0000 3.7534
N Se Ag Ti
1 2 1 1
Cartesian
0.0000 0.0000 1.8767
0.0000 2.5688 0.0000
2.5688 0.0000 0.0000
2.5688 2.5688 1.8767
0.0000 0.0000 0.0000
```

=====

A relaxed structure of TiAgSe2N, computed with PBE-GGA.

Space-group type = P4/mmm, No. 123
Energy above the most stable polymorph in this dataset = 5.20 eV/f.u.
Crystal system = tetragonal

The structure in POSCAR format:
```
TiAgSe2N
1.0
5.1130 0.0000 0.0000
0.0000 5.1130 0.0000
0.0000 0.0000 3.8730
N Se Ag Ti
1 2 1 1
Cartesian
0.0000 0.0000 1.9365
0.0000 2.5565 0.0000
2.5565 0.0000 0.0000
0.0000 0.0000 0.0000
2.5565 2.5565 1.9365
```

=====

A relaxed structure of TiAgSeN2, computed with PBE-GGA.

Space-group type = P4/mmm, No. 123
Energy above the most stable polymorph in this dataset = 6.31 eV/f.u.
Crystal system = tetragonal

The structure in POSCAR format:
```
TiAgSeN2
1.0
4.0219 0.0000 0.0000
0.0000 4.0219 0.0000
0.0000 0.0000 4.9949
N Se Ag Ti
2 1 1 1
Cartesian
0.0000 2.0110 0.0000
2.0110 0.0000 0.0000
0.0000 0.0000 2.4974
0.0000 0.0000 0.0000
2.0110 2.0110 2.4974
```

=====

A relaxed structure of TiAgSeN2, computed with PBE-GGA.

Space-group type = P4/mmm, No. 123
Energy above the most stable polymorph in this dataset = 0.00 eV/f.u.
Crystal system = tetragonal

The structure in POSCAR format:
```
TiAgSeN2
1.0
-2.6580 -2.3094 -1.5781
1.7412 -3.0699 1.5598
-3.2085 0.5312 4.6268
N Se Ag Ti
2 1 1 1
Cartesian
0.8706 -1.5349 0.7799
-1.3290 -1.1547 -0.7890
-1.6042 0.2656 2.3134
-2.0627 -2.4241 2.3043
0.0000 0.0000 0.0000
```

=====

A relaxed structure of TlAgSeN2, computed with PBE-GGA.

Space-group type = P4/mmm, No. 123
Energy above the most stable polymorph in this dataset = 0.00 eV/f.u.
Crystal system = tetragonal

The structure in POSCAR format:
```
TlAgSeN2
1.0
-3.4667 -2.1162 -1.2727
1.1008 -3.2879 2.4685
-2.9147 2.2171 4.2529
Tl Se Ag N
1 1 1 2
Cartesian
-2.6403 -1.5935 2.7244
-1.4574 1.1086 2.1264
0.0000 0.0000 0.0000
0.5504 -1.6439 1.2343
-1.7333 -1.0581 -0.6363
```

=====

A relaxed structure of TlAgSeN2, computed with PBE-GGA.

Space-group type = P4/mmm, No. 123
Energy above the most stable polymorph in this dataset = 1.03 eV/f.u.
Crystal system = tetragonal

The structure in POSCAR format:
```
TlAgSeN2
1.0
4.3212 0.0000 0.0000
0.0000 4.3212 0.0000
0.0000 0.0000 5.9365
Tl Se Ag N
1 1 1 2
Cartesian
0.0000 0.0000 0.0000
0.0000 0.0000 2.9682
2.1606 2.1606 2.9682
0.0000 2.1606 0.0000
2.1606 0.0000 0.0000
```

=====

A relaxed structure of AgWSeN2, computed with PBE-GGA.

Space-group type = P4/mmm, No. 123
Energy above the most stable polymorph in this dataset = 9.94 eV/f.u.
Crystal system = tetragonal

The structure in POSCAR format:
```
AgWSeN2
1.0
4.0377 0.0000 0.0000
0.0000 4.0377 0.0000
0.0000 0.0000 5.2562
Se Ag W N
1 1 1 2
Cartesian
0.0000 0.0000 2.6281
0.0000 0.0000 0.0000
2.0189 2.0189 2.6281
0.0000 2.0189 0.0000
2.0189 0.0000 0.0000
```

=====

The theoretical density results, record by record, are as follows: 6.1; 6.2; 6.2; 5.8; 7.4; 5.5; 5.4; 5.4; 5.2; 6.8; 6.3; 7.7 g/cm³.
The energy relative to the elements, uncorrected results, record by record, are as follows: 5.3; 4.6; 5.7; 4.8; -8.5; 0.1; 5.3; 8.0; 1.7; 7.8; 8.8; 11.6 eV per formula unit.